A plane-wave DFT calculation with PBE with a Hubbard U was carried out for an optimized crystal structure of Co3AgO.

abc: 3.997 3.997 3.997
angles: 90.00 90.00 90.00
Fractional positions:
Co 0.000 0.500 0.000
Co 0.000 0.000 0.500
Co 0.500 0.000 0.000
O 0.000 0.000 0.000
Ag 0.500 0.500 0.500

## Properties
Its raw total energy is -4.402 eV/atom. The symmetry is No. 221.